No. 1
Density functional theory data (PBE) for a relaxed ScCuNi5 crystal.

The structure in POSCAR format:
```
ScCuNi5
1.0
7.691 0.000 0.000
0.000 4.706 0.000
0.000 0.000 9.769
Sc Cu Ni
4 4 20
direct
0.243 0.250 0.060
0.257 0.750 0.560
0.743 0.250 0.440
0.757 0.750 0.940
0.138 0.750 0.853
0.362 0.250 0.353
0.638 0.750 0.647
0.862 0.250 0.147
0.056 0.750 0.091
0.068 0.006 0.310
0.068 0.494 0.310
0.104 0.250 0.520
0.184 0.250 0.754
0.316 0.750 0.254
0.396 0.750 0.020
0.432 0.506 0.810
0.432 0.994 0.810
0.444 0.250 0.591
0.556 0.750 0.409
0.568 0.006 0.190
0.568 0.494 0.190
0.604 0.250 0.980
0.684 0.250 0.746
0.816 0.750 0.246
0.896 0.750 0.480
0.932 0.506 0.690
0.932 0.994 0.690
0.944 0.250 0.909
```

Summary:
DOS(E_F), states/eV per atom: 1.257
E_form, kJ/mol of atoms: -19.4


No. 2
Density functional theory data (PBE) for a relaxed ScCu2Ni2 crystal.

The structure in POSCAR format:
```
ScCu2Ni2
1.0
6.872 0.000 0.000
0.000 6.872 0.000
0.000 0.000 2.821
Sc Cu Ni
2 4 4
direct
0.000 0.000 0.000
0.500 0.500 0.000
0.127 0.373 0.000
0.373 0.873 0.000
0.627 0.127 0.000
0.873 0.627 0.000
0.168 0.668 0.500
0.332 0.168 0.500
0.668 0.832 0.500
0.832 0.332 0.500
```

Summary:
DOS(E_F), states/eV per atom: 0.487
E_form, kJ/mol of atoms: -10.9


No. 3
Density functional theory data (PBE) for a relaxed Sc4CuNi3 crystal.

The structure in POSCAR format:
```
Sc4CuNi3
1.0
3.176 0.000 0.000
0.000 3.176 0.000
0.000 0.000 12.898
Sc Cu Ni
4 1 3
direct
0.000 0.000 0.123
0.000 0.000 0.370
0.000 0.000 0.630
0.000 0.000 0.877
0.500 0.500 0.500
0.500 0.500 0.000
0.500 0.500 0.246
0.500 0.500 0.754
```

Summary:
DOS(E_F), states/eV per atom: 0.904
E_form, kJ/mol of atoms: -42.7


No. 4
Density functional theory data (PBE) for a relaxed ScCuNi2 crystal.

The structure in POSCAR format:
```
ScCuNi2
1.0
4.875 0.000 0.000
0.000 4.619 0.000
0.000 0.000 11.360
Sc Cu Ni
4 4 8
direct
0.250 0.000 0.094
0.250 0.500 0.403
0.750 0.000 0.906
0.750 0.500 0.597
0.250 0.000 0.836
0.250 0.500 0.823
0.750 0.000 0.164
0.750 0.500 0.177
0.000 0.000 0.500
0.000 0.500 0.000
0.250 0.251 0.644
0.250 0.749 0.644
0.500 0.000 0.500
0.500 0.500 0.000
0.750 0.251 0.356
0.750 0.749 0.356
```

Summary:
DOS(E_F), states/eV per atom: 0.928
E_form, kJ/mol of atoms: -2.3


No. 5
Density functional theory data (PBE) for a relaxed Sc3CuNi crystal.

The structure in POSCAR format:
```
Sc3CuNi
1.0
4.823 0.000 0.000
0.000 4.823 0.000
0.000 0.000 4.823
Sc Cu Ni
3 1 1
direct
0.000 0.000 0.500
0.000 0.500 0.000
0.500 0.000 0.000
0.500 0.500 0.500
0.000 0.000 0.000
```

Summary:
DOS(E_F), states/eV per atom: 1.684
E_form, kJ/mol of atoms: 12.2


No. 6
Density functional theory data (PBE) for a relaxed Sc2CuNi crystal.

The structure in POSCAR format:
```
Sc2CuNi
1.0
3.199 0.000 0.000
0.000 3.199 0.000
0.000 0.000 6.490
Sc Cu Ni
2 1 1
direct
0.000 0.000 0.244
0.000 0.000 0.756
0.500 0.500 0.500
0.500 0.500 0.000
```

Summary:
DOS(E_F), states/eV per atom: 0.740
E_form, kJ/mol of atoms: -37.9